Record 1
First-principles (GGA-PBE) data for crystalline LiHfP2 at its relaxed geometry, as listed in Alexandria via LeMat-Bulk.

The formation energy is -796 meV/atom. For the excess energy over the best structure of this formula in the dataset, the calculation gives 0 meV per atom. As for the crystal system: trigonal. The value obtained for the total energy is -6.4674 eV per atom.

The structure belongs to space group R3m (No. 160, hexagonal axes); the cell edges are 3.8078, 3.8078 and 16.0588 Å and the angles 90.00°, 90.00° and 120.00°. The asymmetric unit holds Li at (0.0000, 0.0000, 0.0000), Hf at (0.0000, 0.0000, 0.8196), P at (0.0000, 0.0000, 0.2452) and P at (0.0000, 0.0000, 0.3949).

***

Record 2
First-principles (GGA-PBE) data for crystalline LiHfP2 at its relaxed geometry, as listed in Alexandria via LeMat-Bulk.

The formation energy is -521 meV/atom. For the excess energy over the best structure of this formula in the dataset, the calculation gives 275 meV per atom. As for the crystal system: cubic. The value obtained for the total energy is -6.1926 eV per atom.

The structure belongs to space group Fm-3m (No. 225); the cell edges are 6.370, 6.370 and 6.370 Å and the angles 90.00°, 90.00° and 90.00°. The asymmetric unit holds Li at (0.000, 0.000, 0.000), Hf at (0.000, 0.000, 0.500) and P at (0.250, 0.250, 0.250).

***

Record 3
First-principles (GGA-PBE) data for crystalline LiHfP2 at its relaxed geometry, as listed in Alexandria via LeMat-Bulk.

The formation energy is -721 meV/atom. For the excess energy over the best structure of this formula in the dataset, the calculation gives 74 meV per atom. As for the crystal system: trigonal. The value obtained for the total energy is -6.3930 eV per atom.

The structure belongs to space group R-3m (No. 166, hexagonal axes); the cell edges are 3.7426, 3.7426 and 18.1725 Å and the angles 90.00°, 90.00° and 120.00°. The asymmetric unit holds Li at (0.0000, 0.0000, 0.0000), Hf at (0.0000, 0.0000, 0.5000) and P at (0.0000, 0.0000, 0.2472).